(1)
## CuSb2Pb (PBE)

Data for a relaxed structure of CuSb2Pb.

Output
SG: Cm, No. 8
E in eV/atom: -3.914

Cell: 6.980 6.980 6.923 Å, 117.51 117.51 47.70°
Atoms (fractional coordinates):
Cu (0.239, 0.761, 0.000)
Cu (0.761, 0.239, 0.000)
Sb (0.083, 0.083, 0.756)
Sb (0.142, 0.142, 0.373)
Sb (0.351, 0.351, 0.065)
Sb (0.788, 0.788, 0.808)
Pb (0.427, 0.427, 0.587)
Pb (0.725, 0.725, 0.235)

---

(2)
## Cu2SbPb (PBE)

Data for a relaxed structure of Cu2SbPb.

Output
SG: P4mm, No. 99
E in eV/atom: -3.869

Cell: 3.250 3.250 7.943 Å, 90.00 90.00 90.00°
Atoms (fractional coordinates):
Cu (0.000, 0.000, 0.000)
Cu (0.500, 0.500, 0.137)
Sb (0.500, 0.500, 0.787)
Pb (0.000, 0.000, 0.383)

---

(3)
## CuSb2Pb (PBE)

Data for a relaxed structure of CuSb2Pb.

Output
SG: R3m, No. 160
E in eV/atom: -3.918

Cell: 7.878 7.878 7.878 Å, 29.38 29.38 29.38°
Atoms (fractional coordinates):
Cu (0.000, 0.000, 0.000)
Sb (0.392, 0.392, 0.392)
Sb (0.607, 0.607, 0.607)
Pb (0.834, 0.834, 0.834)

---

(4)
## CuSbPb2 (PBE)

Data for a relaxed structure of CuSbPb2.

Output
SG: I-42d, No. 122
E in eV/atom: -3.619

Cell: 8.212 8.212 8.212 Å, 134.79 134.79 65.86°
Atoms (fractional coordinates):
Cu (0.000, 0.000, 0.000)
Cu (0.750, 0.250, 0.500)
Sb (0.250, 0.750, 0.500)
Sb (0.500, 0.500, 0.000)
Pb (0.072, 0.625, 0.947)
Pb (0.375, 0.322, 0.447)
Pb (0.678, 0.125, 0.053)
Pb (0.875, 0.928, 0.553)

---

(5)
## CuSb2Pb (PBE)

Data for a relaxed structure of CuSb2Pb.

Output
SG: Cmmm, No. 65
E in eV/atom: -3.916

Cell: 5.173 5.173 4.139 Å, 90.00 90.00 111.06°
Atoms (fractional coordinates):
Cu (0.000, 0.000, 0.000)
Sb (0.194, 0.806, 0.500)
Sb (0.806, 0.194, 0.500)
Pb (0.500, 0.500, 0.000)

---

(6)
## CuSbPb2 (PBE)

Data for a relaxed structure of CuSbPb2.

Output
SG: Imm2, No. 44
E in eV/atom: -3.750

Cell: 6.353 6.353 6.353 Å, 148.54 127.89 62.15°
Atoms (fractional coordinates):
Cu (0.000, 0.000, 0.000)
Sb (0.813, 0.313, 0.500)
Pb (0.211, 0.711, 0.500)
Pb (0.504, 0.504, 0.000)